# Cr3BrF

A relaxed structure of Cr3BrF (GGA+U, Alexandria).

Cell lengths 5.2675, 5.2675, 5.2675 Å; angles 90.00, 90.00, 90.00 degrees
Fractional positions:
Br1 0.0000 0.0000 0.0000
Cr1 0.0000 0.0000 0.5000
Cr2 0.0000 0.5000 0.0000
F1 0.5000 0.5000 0.5000
Cr3 0.5000 0.0000 0.0000

Calculated values
Final energy in eV per cell: -24.52
Mass density in g/cm³: 2.9
Fermi-level density of states in states/eV/cell: 0.74